Crystalline Pr3Y3Te2Pt at its relaxed geometry, computed with GGA-PBE.

Output
Energy above the most stable polymorph in this dataset   0.118 eV per atom
VASP energy   -5.959 eV per atom
Crystal system   hexagonal

Cell: 8.692 8.692 3.974 Å, 90.00 90.00 120.00°
Element x y z (fractional)
Pr 0.000 0.750 0.000
Pr 0.250 0.250 0.000
Pr 0.750 0.000 0.000
Y 0.000 0.407 0.500
Y 0.407 0.000 0.500
Y 0.593 0.593 0.500
Te 0.333 0.667 0.000
Te 0.667 0.333 0.000
Pt 0.000 0.000 0.500

---

Crystalline Pr3Y3Te2Pt at its relaxed geometry, computed with GGA-PBE.

Output
Energy above the most stable polymorph in this dataset   0.000 eV per atom
VASP energy   -6.077 eV per atom
Crystal system   hexagonal

Cell: 8.555 8.555 4.092 Å, 90.00 90.00 120.00°
Element x y z (fractional)
Pr 0.000 0.406 0.000
Pr 0.406 0.000 0.000
Pr 0.594 0.594 0.000
Y 0.000 0.759 0.500
Y 0.241 0.241 0.500
Y 0.759 0.000 0.500
Te 0.333 0.667 0.500
Te 0.667 0.333 0.500
Pt 0.000 0.000 0.000